[1]
Compound: SiTcRhCl
Source: Alexandria via LeMat-Bulk
Functional: PBE-GGA
Structure: optimized geometry

Unit cell a=2.9458 b=3.4606 c=12.9490 alpha=90.00 beta=90.00 gamma=90.00
Positions (direct):
Si1 0.0000 0.0000 0.0000
Si2 0.0000 0.5000 0.5000
Tc1 0.5000 0.0000 0.4226
Tc2 0.5000 0.5000 0.9226
Rh1 0.0000 0.0000 0.6162
Rh2 0.0000 0.5000 0.1162
Cl1 0.0000 0.0000 0.2728
Cl2 0.0000 0.5000 0.7728

Properties
**Energy relative to the elements, uncorrected**: -0.20 eV per atom
**Offset from the most stable computed form**: 101.5 meV per atom
**M_tot**: 0.00 μB per cell

[2]
Compound: SiTcRhCl
Source: Alexandria via LeMat-Bulk
Functional: PBE-GGA
Structure: optimized geometry

Unit cell a=2.9442 b=2.9442 c=24.1426 alpha=90.00 beta=90.00 gamma=120.00
Positions (direct):
Si1 0.0000 0.0000 0.0000
Si2 0.3333 0.6667 0.6667
Si3 0.6667 0.3333 0.3333
Tc1 0.0000 0.0000 0.2556
Tc2 0.3333 0.6667 0.9223
Tc3 0.6667 0.3333 0.5889
Rh1 0.0000 0.0000 0.7383
Rh2 0.3333 0.6667 0.4050
Rh3 0.6667 0.3333 0.0716
Cl1 0.0000 0.0000 0.8467
Cl2 0.3333 0.6667 0.5134
Cl3 0.6667 0.3333 0.1801

Properties
**Energy relative to the elements, uncorrected**: -0.15 eV per atom
**Offset from the most stable computed form**: 150.4 meV per atom
**M_tot**: 0.00 μB per cell

[3]
Compound: SiTcRhCl
Source: Alexandria via LeMat-Bulk
Functional: PBE-GGA
Structure: optimized geometry

Unit cell a=2.9299 b=2.9299 c=23.9898 alpha=90.00 beta=90.00 gamma=120.00
Positions (direct):
Si1 0.0000 0.0000 0.0000
Si2 0.3333 0.6667 0.6667
Si3 0.6667 0.3333 0.3333
Tc1 0.0000 0.0000 0.7462
Tc2 0.3333 0.6667 0.4129
Tc3 0.6667 0.3333 0.0796
Rh1 0.0000 0.0000 0.2612
Rh2 0.3333 0.6667 0.9278
Rh3 0.6667 0.3333 0.5945
Cl1 0.0000 0.0000 0.4904
Cl2 0.3333 0.6667 0.1571
Cl3 0.6667 0.3333 0.8237

Properties
**Energy relative to the elements, uncorrected**: -0.12 eV per atom
**Offset from the most stable computed form**: 181.9 meV per atom
**M_tot**: 0.00 μB per cell

[4]
Compound: Y2SiRhCl
Source: Alexandria via LeMat-Bulk
Functional: PBE-GGA
Structure: optimized geometry

Unit cell a=5.0847 b=5.0847 c=4.3816 alpha=90.00 beta=90.00 gamma=90.00
Positions (direct):
Y1 0.0000 0.5000 0.0000
Y2 0.5000 0.0000 0.0000
Si1 0.0000 0.0000 0.5000
Rh1 0.5000 0.5000 0.5000
Cl1 0.5000 0.5000 0.0000

Properties
**Energy relative to the elements, uncorrected**: -0.28 eV per atom
**M_tot**: 0.00 μB per cell

[5]
Compound: Sm3Rh2Cl
Source: Alexandria via LeMat-Bulk
Functional: PBE-GGA
Structure: optimized geometry

Unit cell a=7.9627 b=7.9627 c=9.7347 alpha=90.00 beta=90.00 gamma=150.42
Positions (direct):
Sm1 0.1176 0.8824 0.5580
Sm2 0.1176 0.8824 0.9420
Sm3 0.3720 0.6280 0.7500
Sm4 0.6280 0.3720 0.2500
Sm5 0.8824 0.1176 0.0580
Sm6 0.8824 0.1176 0.4420
Rh1 0.0149 0.9851 0.2500
Rh2 0.5000 0.5000 0.0000
Rh3 0.5000 0.5000 0.5000
Rh4 0.9851 0.0149 0.7500
Cl1 0.2804 0.7196 0.2500
Cl2 0.7196 0.2804 0.7500

Properties
**Energy relative to the elements, uncorrected**: -0.76 eV per atom
**M_tot**: 1.08 μB per cell

[6]
Compound: Sm4Rh2Cl
Source: Alexandria via LeMat-Bulk
Functional: PBE-GGA
Structure: optimized geometry

Unit cell a=7.8407 b=7.8407 c=7.8407 alpha=111.68 beta=111.68 gamma=105.13
Positions (direct):
Sm1 0.0395 0.4004 0.2468
Sm2 0.1504 0.2895 0.7468
Sm3 0.1536 0.7926 0.7532
Sm4 0.2074 0.9605 0.3610
Sm5 0.5426 0.4036 0.2532
Sm6 0.5964 0.8496 0.1390
Sm7 0.5996 0.8464 0.6390
Sm8 0.7105 0.4574 0.8610
Rh1 0.2808 0.6250 0.1558
Rh2 0.3750 0.5308 0.6558
Rh3 0.4692 0.1250 0.8442
Rh4 0.8750 0.7192 0.3442
Cl1 0.0000 0.0000 0.0000
Cl2 0.7500 0.2500 0.5000

Properties
**Energy relative to the elements, uncorrected**: -0.86 eV per atom
**M_tot**: 0.00 μB per cell